Arrangement 1

Ag3N | GGA-PBE | relaxed

Lattice parameters (Å, degrees): 6.4180 6.4180 6.4180 90.00 90.00 90.00
Last column: nearest neighbours and their distance in Å.
Space group P2_13 (No. 198)
Unique sites:
Ag 0.0014 0.2516 0.3841 [12 per cell]  2 N 2.24-2.25
N 0.0860 0.9140 0.4140 [4 per cell]  6 Ag 2.24-2.25

***

Arrangement 2

Ag3N | GGA-PBE | relaxed

Lattice parameters (Å, degrees): 4.5365 4.5365 4.1135 90.00 90.00 120.00
Last column: nearest neighbours and their distance in Å.
Space group P6/mmm (No. 191)
Unique sites:
Ag 0.0000 0.0000 0.0000 [1 per cell]  2 N 2.06
Ag 0.3333 0.6667 0.5000 [2 per cell]  3 N 2.62, 3 Ag 2.62
N 0.0000 0.0000 0.5000 [1 per cell]  2 Ag 2.06

***

Most stable: arrangement 1 (next structure +8.3 kJ/mol of atoms)

***

Arrangement 1

NbAgNO | GGA-PBE | relaxed

Total moment: 0.00 μB per cell

Lattice parameters (Å, degrees): 3.4373 5.5841 6.1580 90.00 90.00 90.00
Last column: nearest neighbours and their distance in Å.
Space group Pmc2_1 (No. 26)
Unique sites:
Nb 0.0000 0.1226 0.0000 [2 per cell]  2 O 1.92-2.06, 2 N 1.97
Ag 0.5000 0.3315 0.3912 [2 per cell]  2 N 2.26-2.27
N 0.5000 0.2915 0.0237 [2 per cell]  2 Nb 1.97
O 0.0000 0.1676 0.6679 [2 per cell]  2 Nb 1.92-2.06

***

Arrangement 2

NbAgNO | GGA-PBE | relaxed

Total moment: 1.38 μB per cell

Lattice parameters (Å, degrees): 6.0370 6.2060 5.2429 90.00 90.00 90.00
Last column: nearest neighbours and their distance in Å.
Space group Pca2_1 (No. 29)
Unique sites:
Nb 0.1252 0.0120 0.0000 [4 per cell]  3 N 2.11-2.15, 3 O 2.12-2.15
Ag 0.1297 0.4910 0.0033 [4 per cell]  3 N 2.52-2.56, 3 O 2.58-2.62
N 0.1154 0.2012 0.6662 [4 per cell]  3 Nb 2.11-2.15
O 0.1323 0.8066 0.6706 [4 per cell]  3 Nb 2.12-2.15

***

Most stable: arrangement 2 (next structure +3.2 kJ/mol of atoms)

***

Arrangement 1

NbAgNO | GGA-PBE | relaxed

Total moment: 1.65 μB per cell

Lattice parameters (Å, degrees): 3.4447 3.4447 7.9729 90.00 90.00 90.00
Last column: nearest neighbours and their distance in Å.
Space group P4/nmm (No. 129, origin choice 2)
Unique sites:
Nb 0.2500 0.2500 0.1609 [2 per cell]  4 O 2.15
Ag 0.2500 0.7500 0.5000 [2 per cell]  4 Ag 2.44, 4 N 2.64
N 0.2500 0.2500 0.7512 [2 per cell]  4 Nb 2.53, 4 O 2.63, 4 Ag 2.64
O 0.2500 0.7500 0.0000 [2 per cell]  4 Nb 2.15

***

Arrangement 2

NbAgNO | GGA-PBE | relaxed

Total moment: 0.00 μB per cell

Lattice parameters (Å, degrees): 3.4746 5.7319 6.0835 90.00 90.00 90.00
Last column: nearest neighbours and their distance in Å.
Space group Pmc2_1 (No. 26)
Unique sites:
Nb 0.0000 0.1504 0.0000 [2 per cell]  2 N 1.92-1.96, 2 O 2.00
Ag 0.5000 0.2856 0.4609 [2 per cell]  2 O 2.35-2.52, 2 N 2.36
N 0.0000 0.1269 0.6778 [2 per cell]  2 Nb 1.92-1.96
O 0.5000 0.3149 0.0481 [2 per cell]  2 Nb 2.00

***

Most stable: arrangement 2 (next structure +51.3 kJ/mol of atoms)

***

Arrangement 1

NbAgNO | GGA-PBE | relaxed

Total moment: 0.00 μB per cell

Lattice parameters (Å, degrees): 6.1535 6.9337 5.6121 90.00 90.00 90.00
Last column: nearest neighbours and their distance in Å.
Space group Pca2_1 (No. 29)
Unique sites:
Nb 0.1003 0.1071 0.0000 [4 per cell]  1 O 1.87, 3 N 2.01-2.05
Ag 0.1466 0.6599 0.0127 [4 per cell]  2 O 2.28-2.38, 1 N 2.34
N 0.0925 0.1005 0.6426 [4 per cell]  3 Nb 2.01-2.05
O 0.0249 0.3568 0.0966 [4 per cell]  1 Nb 1.87

***

Arrangement 2

NbAgNO | GGA-PBE | relaxed

Total moment: 0.00 μB per cell

Lattice parameters (Å, degrees): 4.4316 4.4316 4.6953 90.00 90.00 90.00
Last column: nearest neighbours and their distance in Å.
Space group P4/nmm (No. 129, origin choice 2)
Unique sites:
Nb 0.2500 0.7500 0.0000 [2 per cell]  4 N 2.25, 2 O 2.35
Ag 0.2500 0.2500 0.3834 [2 per cell]  1 N 2.19, 4 O 2.28
N 0.2500 0.2500 0.9177 [2 per cell]  1 Ag 2.19, 4 Nb 2.25
O 0.2500 0.7500 0.5000 [2 per cell]  4 Ag 2.28, 2 Nb 2.35

***

Most stable: arrangement 1 (next structure +35.2 kJ/mol of atoms)

***

Arrangement 1

AgOsNO | GGA-PBE | relaxed

Total moment: 0.00 μB per cell

Lattice parameters (Å, degrees): 2.8239 5.8661 6.9389 90.00 90.00 90.00
Last column: nearest neighbours and their distance in Å.
Space group Pmc2_1 (No. 26)
Unique sites:
Ag 0.0000 0.1657 0.0000 [2 per cell]  1 O 2.24
Os 0.5000 0.4171 0.5404 [2 per cell]  2 N 1.80-1.89
N 0.5000 0.4344 0.2820 [2 per cell]  2 Os 1.80-1.89
O 0.0000 0.1889 0.6182 [2 per cell]  2 Os 2.02, 1 Ag 2.24

***

Arrangement 2

AgOsNO | GGA-PBE | relaxed

Total moment: 0.02 μB per cell

Lattice parameters (Å, degrees): 3.8423 3.8423 6.7499 90.00 90.00 90.00
Last column: nearest neighbours and their distance in Å.
Space group P4/nmm (No. 129, origin choice 2)
Unique sites:
Ag 0.2500 0.2500 0.1497 [2 per cell]  4 O 2.17
Os 0.2500 0.7500 0.5000 [2 per cell]  4 N 2.09
N 0.2500 0.2500 0.6201 [2 per cell]  4 Os 2.09
O 0.2500 0.7500 0.0000 [2 per cell]  4 Ag 2.17

***

Arrangement 3

AgOsNO | GGA-PBE | relaxed

Total moment: 0.00 μB per cell

Lattice parameters (Å, degrees): 3.5293 3.5293 7.3560 90.00 90.00 90.00
Last column: nearest neighbours and their distance in Å.
Space group P4/nmm (No. 129, origin choice 2)
Unique sites:
Ag 0.2500 0.7500 0.0000 [2 per cell]  4 Ag 2.50, 4 N 2.50
Os 0.2500 0.2500 0.3382 [2 per cell]  4 O 2.13
N 0.2500 0.2500 0.7586 [2 per cell]  4 Ag 2.50, 4 O 2.59, 4 Os 2.60
O 0.2500 0.7500 0.5000 [2 per cell]  4 Os 2.13

***

Arrangement 4

AgOsNO | GGA-PBE | relaxed

Total moment: 0.00 μB per cell

Lattice parameters (Å, degrees): 3.2157 6.1170 5.4853 90.00 90.00 90.00
Last column: nearest neighbours and their distance in Å.
Space group Pmc2_1 (No. 26)
Unique sites:
Ag 0.0000 0.0542 0.0000 [2 per cell]  2 N 2.26-2.28, 2 O 2.50
Os 0.5000 0.4039 0.4537 [2 per cell]  2 N 1.90, 2 O 1.96-1.97
N 0.0000 0.2812 0.3288 [2 per cell]  2 Os 1.90
O 0.5000 0.3079 0.7966 [2 per cell]  2 Os 1.96-1.97

***

Most stable: arrangement 1 (next structure +16.3 kJ/mol of atoms)

***

Arrangement 1

PaAgNO | GGA-PBE | relaxed

Total moment: 3.30 μB per cell

Lattice parameters (Å, degrees): 6.9127 7.1359 4.6256 90.00 90.00 90.00
Last column: nearest neighbours and their distance in Å.
Space group Cmme (No. 67)
Unique sites:
Pa 0.2500 0.0000 0.0000 [4 per cell]  2 O 2.31, 4 N 2.48
Ag 0.0000 0.2500 0.4969 [4 per cell]  2 N 2.31-2.32, 4 O 2.48
N 0.0000 0.2500 0.9979 [4 per cell]  2 Ag 2.31-2.32, 4 Pa 2.48
O 0.2500 0.0000 0.5000 [4 per cell]  2 Pa 2.31, 4 Ag 2.48

***

Arrangement 2

PaAgNO | GGA-PBE | relaxed

Total moment: 4.00 μB per cell

Lattice parameters (Å, degrees): 5.5591 8.0204 5.8133 90.00 90.00 90.00
Last column: nearest neighbours and their distance in Å.
Space group Pca2_1 (No. 29)
Unique sites:
Pa 0.0489 0.1604 0.0000 [4 per cell]  2 N 2.26-2.43, 4 O 2.30-2.50
Ag 0.0339 0.4620 0.6241 [4 per cell]  2 N 2.19-2.33
N 0.1189 0.3094 0.3227 [4 per cell]  2 Ag 2.19-2.33, 2 Pa 2.26-2.43
O 0.2452 0.9704 0.2293 [4 per cell]  4 Pa 2.30-2.50

***

Most stable: arrangement 2 (next structure +7.9 kJ/mol of atoms)

***

Arrangement 1

PaAgNO | GGA-PBE | relaxed

Total moment: 1.98 μB per cell

Lattice parameters (Å, degrees): 3.7007 3.7007 8.4359 90.00 90.00 90.00
Last column: nearest neighbours and their distance in Å.
Space group P4/nmm (No. 129, origin choice 2)
Unique sites:
Pa 0.2500 0.2500 0.1714 [2 per cell]  4 O 2.35
Ag 0.2500 0.7500 0.5000 [2 per cell]  4 Ag 2.62, 4 N 2.64
N 0.2500 0.2500 0.7226 [2 per cell]  4 Ag 2.64, 4 Pa 2.77
O 0.2500 0.7500 0.0000 [2 per cell]  4 Pa 2.35, 4 O 2.62

***

Arrangement 2

PaAgNO | GGA-PBE | relaxed

Total moment: 1.99 μB per cell

Lattice parameters (Å, degrees): 4.2472 6.0283 5.0315 90.00 90.00 90.00
Last column: nearest neighbours and their distance in Å.
Space group Pmc2_1 (No. 26)
Unique sites:
Pa 0.0000 0.2235 0.0000 [2 per cell]  2 O 2.25, 2 N 2.31-2.51
Ag 0.5000 0.2344 0.4997 [2 per cell]  2 N 2.17
N 0.0000 0.1590 0.4934 [2 per cell]  2 Ag 2.17, 1 Pa 2.31
O 0.5000 0.3473 0.9956 [2 per cell]  2 Pa 2.25

***

Most stable: arrangement 2 (next structure +8.3 kJ/mol of atoms)

***

Arrangement 1

PaAgNO | GGA-PBE | relaxed

Total moment: 0.71 μB per cell

Lattice parameters (Å, degrees): 4.9237 4.9237 4.6290 90.00 90.00 90.00
Last column: nearest neighbours and their distance in Å.
Space group P4/nmm (No. 129, origin choice 2)
Unique sites:
Pa 0.2500 0.7500 0.0000 [2 per cell]  2 O 2.31, 4 N 2.46
Ag 0.2500 0.2500 0.4992 [2 per cell]  2 N 2.31-2.32, 4 O 2.46
N 0.2500 0.2500 0.9997 [2 per cell]  2 Ag 2.31-2.32, 4 Pa 2.46
O 0.2500 0.7500 0.5000 [2 per cell]  2 Pa 2.31, 4 Ag 2.46

***

Arrangement 2

PaAgNO | GGA-PBE | relaxed

Total moment: 2.03 μB per cell

Lattice parameters (Å, degrees): 3.4446 5.8043 5.8981 90.00 90.00 90.00
Last column: nearest neighbours and their distance in Å.
Space group Pmc2_1 (No. 26)
Unique sites:
Pa 0.0000 0.1873 0.0000 [2 per cell]  2 O 2.33-2.35, 4 N 2.47-2.56
Ag 0.5000 0.3169 0.4962 [2 per cell]  2 N 2.32-2.40, 4 O 2.45-2.56
N 0.5000 0.0098 0.2447 [2 per cell]  2 Ag 2.32-2.40, 4 Pa 2.47-2.56
O 0.0000 0.4910 0.7371 [2 per cell]  2 Pa 2.33-2.35, 4 Ag 2.45-2.56

***

Most stable: arrangement 1 (next structure +1.8 kJ/mol of atoms)

***

Arrangement 1

PmAgNO | GGA-PBE | relaxed

Total moment: 1.99 μB per cell

Lattice parameters (Å, degrees): 3.9159 3.9159 7.8725 90.00 90.00 90.00
Last column: nearest neighbours and their distance in Å.
Space group P4/nmm (No. 129, origin choice 2)
Unique sites:
Pm 0.2500 0.2500 0.1518 [2 per cell]  4 O 2.29
Ag 0.2500 0.7500 0.5000 [2 per cell]  4 N 2.37
N 0.2500 0.2500 0.6700 [2 per cell]  4 Ag 2.37
O 0.2500 0.7500 0.0000 [2 per cell]  4 Pm 2.29

***

Arrangement 2

PmAgNO | GGA-PBE | relaxed

Total moment: 1.61 μB per cell

Lattice parameters (Å, degrees): 3.9980 5.9530 5.9107 90.00 90.00 90.00
Last column: nearest neighbours and their distance in Å.
Space group Pmc2_1 (No. 26)
Unique sites:
Pm 0.0000 0.2211 0.0000 [2 per cell]  2 O 2.22-2.25, 2 N 2.32
Ag 0.5000 0.3011 0.5063 [2 per cell]  2 N 2.14-2.18, 2 O 2.39
N 0.5000 0.3626 0.8622 [2 per cell]  2 Ag 2.14-2.18, 2 Pm 2.32
O 0.0000 0.1294 0.3691 [2 per cell]  2 Pm 2.22-2.25, 2 Ag 2.39

***

Most stable: arrangement 1 (next structure +11.8 kJ/mol of atoms)

***

Arrangement 1

AgPtNO | GGA-PBE | relaxed

Total moment: 0.00 μB per cell

Lattice parameters (Å, degrees): 4.0348 4.0348 6.7079 90.00 90.00 90.00
Last column: nearest neighbours and their distance in Å.
Space group P4/nmm (No. 129, origin choice 2)
Unique sites:
Ag 0.2500 0.2500 0.1075 [2 per cell]  4 O 2.14
Pt 0.2500 0.7500 0.5000 [2 per cell]  4 N 2.14
N 0.2500 0.2500 0.6071 [2 per cell]  4 Pt 2.14
O 0.2500 0.7500 0.0000 [2 per cell]  4 Ag 2.14

***

Arrangement 2

AgPtNO | GGA-PBE | relaxed

Total moment: 0.00 μB per cell

Lattice parameters (Å, degrees): 3.2851 5.7741 5.9087 90.00 90.00 90.00
Last column: nearest neighbours and their distance in Å.
Space group Pmc2_1 (No. 26)
Unique sites:
Ag 0.0000 0.1752 0.0000 [2 per cell]  2 O 2.19-2.32, 2 N 2.26
Pt 0.5000 0.4205 0.5376 [2 per cell]  2 N 1.91-1.95
N 0.5000 0.3115 0.2257 [2 per cell]  2 Pt 1.91-1.95
O 0.0000 0.1871 0.6073 [2 per cell]  2 Pt 2.16, 2 Ag 2.19-2.32

***

Most stable: arrangement 2 (next structure +15.0 kJ/mol of atoms)